(1)
4
Lattice="-2.1610 -3.5797 2.8885 -1.0388 -2.3762 -3.7220 3.9723 -2.1731 0.2787" Properties=species:S:1:pos:R:3 comment="TmPu2Sn (GGA-PBE, relaxed)" dos_ef_per_ev_cell=10.51 delta_e_f_ev_per_atom=-0.303 pbc="T T T"
Tm 0.3862 -4.0645 -0.2774
Sn -1.0805 -1.7899 1.4443
Pu 1.9861 -1.0866 0.1393
Pu -0.5194 -1.1881 -1.8610

---

(2)
3
Lattice="-2.3434 0.7102 -2.0356 -2.0985 -1.4403 1.9134 0.8659 7.9072 4.2524" Properties=species:S:1:pos:R:3 comment="TmPuSn (GGA-PBE, relaxed)" dos_ef_per_ev_cell=6.95 delta_e_f_ev_per_atom=0.207 pbc="T T T"
Sn -0.3580 1.9928 1.1074
Tm -2.9449 3.6641 2.1780
Pu -3.4426 6.4345 3.7176

---

no.,DFT total energy (eV per formula unit)
1,-38.35
2,-22.19